Material: Ta2CdF
Method: DFT, PBE-GGA
State: relaxed

Geometry as CIF:
```
data_Ta2CdF
_chemical_formula_sum 'Ta8 Cd4 F4'
_space_group_name_H-M_alt 'F m -3 m'
_space_group_IT_number 225
_space_group_name_Hall '-F 4 2 3'
_cell_length_a 6.463
_cell_length_b 6.463
_cell_length_c 6.463
_cell_angle_alpha 90.00
_cell_angle_beta 90.00
_cell_angle_gamma 90.00
loop_
_atom_site_label
_atom_site_type_symbol
_atom_site_fract_x
_atom_site_fract_y
_atom_site_fract_z
Ta1 Ta 0.250 0.250 0.250
Cd1 Cd 0.000 0.000 0.000
F1 F 0.000 0.000 0.500
```

Density ... 12.1 Mg/m³
ΔE to the lowest computed polymorph ... 0 meV per atom
Total energy ... -6.25 eV/atom
Fermi-level density of states ... 20.60 states/eV/cell
Energy relative to the elements, uncorrected ... 0.370 eV per atom



Material: Fe2P2Pb
Method: DFT, PBE-GGA
State: relaxed

Geometry as CIF:
```
data_Fe2P2Pb
_chemical_formula_sum 'Fe4 P4 Pb2'
_space_group_name_H-M_alt 'P 4/m b m'
_space_group_IT_number 127
_space_group_name_Hall '-P 4 2ab'
_cell_length_a 7.562
_cell_length_b 7.562
_cell_length_c 2.948
_cell_angle_alpha 90.00
_cell_angle_beta 90.00
_cell_angle_gamma 90.00
loop_
_atom_site_label
_atom_site_type_symbol
_atom_site_fract_x
_atom_site_fract_y
_atom_site_fract_z
Fe1 Fe 0.113 0.387 0.000
P1 P 0.129 0.629 0.500
Pb1 Pb 0.000 0.000 0.500
```

Density ... 7.5 Mg/m³
Total energy ... -6.04 eV/atom
Fermi-level density of states ... 9.41 states/eV/cell
Formation energy from the elements ... 0.25 eV/atom



Which formula does entry 1 have? Ta2CdF



Number 2 is which compound? Fe2P2Pb



What is the density in the first record? 12.1 Mg/m³



total energy of number 2 (Fe2P2Pb)? -6.04 eV/atom